[1]
{
  "formula": "BaBe2W",
  "functional": "PBE",
  "state": "relaxed",
  "lattice_angstrom": [[0.000, 3.308, 3.308], [3.308, 0.000, 3.308], [3.308, 3.308, 0.000]],
  "species": ["Ba", "Be", "Be", "W"],
  "fractional_positions": [[0.000, 0.000, 0.000], [0.250, 0.250, 0.250], [0.750, 0.750, 0.750], [0.500, 0.500, 0.500]],
  "crystal_system": "cubic",
  "density_g_cm3": 7.78,
  "e_tot_ev_per_fu": -16.84
}

---

[2]
{
  "formula": "Pm2BePPt6",
  "functional": "PBE",
  "state": "relaxed",
  "lattice_angstrom": [[5.615, 0.000, 0.000], [0.000, 7.763, 0.000], [0.000, 0.000, 8.560]],
  "species": ["Pt", "Pt", "Pt", "Pt", "Pt", "Pt", "Pt", "Pt", "Pt", "Pt", "Pt", "Pt", "P", "P", "Pm", "Pm", "Pm", "Pm", "Be", "Be"],
  "fractional_positions": [[0.760, 0.497, 0.500], [0.252, 0.012, 0.000], [0.248, 0.988, 0.500], [0.748, 0.012, 0.000], [0.500, 0.131, 0.252], [0.740, 0.503, 0.000], [0.500, 0.131, 0.748], [0.260, 0.503, 0.000], [0.752, 0.988, 0.500], [0.000, 0.869, 0.248], [0.240, 0.497, 0.500], [0.000, 0.869, 0.752], [0.000, 0.739, 0.000], [0.500, 0.261, 0.500], [0.000, 0.271, 0.242], [0.500, 0.729, 0.258], [0.000, 0.271, 0.758], [0.500, 0.729, 0.742], [0.500, 0.255, 0.000], [0.000, 0.745, 0.500]],
  "crystal_system": "orthorhombic",
  "density_g_cm3": 13.35,
  "e_tot_ev_per_fu": -64.08
}

---

[3]
{
  "formula": "Tb2ScZn",
  "functional": "PBE",
  "state": "relaxed",
  "lattice_angstrom": [[3.368, 0.000, 0.000], [1.684, 2.917, 0.000], [1.684, 0.972, 11.520]],
  "species": ["Sc", "Tb", "Tb", "Zn"],
  "fractional_positions": [[0.500, 0.500, 0.500], [0.911, 0.911, 0.267], [0.089, 0.089, 0.733], [0.000, 0.000, 0.000]],
  "crystal_system": "trigonal",
  "density_g_cm3": 6.28,
  "e_tot_ev_per_fu": -15.86
}